# Sc3Cd2Pb (PBE-GGA, optimized geometry)
# - energy of formation from the pure elements (eV/f.u.) = -1.9
# - calculated total energy (eV for the cell shown) = -26.463
# - N(E_F) (states/eV/f.u.) = 5.53
data_Sc3Cd2Pb
_space_group_name_H-M_alt 'P -3 m 1'
_space_group_IT_number 164
_space_group_name_Hall '-P 3 2"'
_cell_length_a 5.0431
_cell_length_b 5.0431
_cell_length_c 6.1996
_cell_angle_alpha 90.00
_cell_angle_beta 90.00
_cell_angle_gamma 120.00
loop_
_atom_site_label
_atom_site_type_symbol
_atom_site_fract_x
_atom_site_fract_y
_atom_site_fract_z
_atom_site_occupancy
Sc1 Sc 0.0000 0.0000 0.0000 1
Sc2 Sc 0.3333 0.6667 0.6615 1
Cd1 Cd 0.3333 0.6667 0.1404 1
Pb1 Pb 0.0000 0.0000 0.5000 1



# Li2PS4 (PBE-GGA, optimized geometry)
# - uncorrected formation energy (eV per atom) = -0.609
# - energy above the most stable polymorph in this dataset (meV/atom) = 0.0
# - calculated total energy (eV for the cell shown) = -60.023
# - N(E_F) (states/eV/f.u.) = 4.78
data_Li2PS4
_space_group_name_H-M_alt 'I -4 2 m'
_space_group_IT_number 121
_space_group_name_Hall 'I -4 2'
_cell_length_a 6.119
_cell_length_b 6.119
_cell_length_c 8.941
_cell_angle_alpha 90.00
_cell_angle_beta 90.00
_cell_angle_gamma 90.00
loop_
_atom_site_label
_atom_site_type_symbol
_atom_site_fract_x
_atom_site_fract_y
_atom_site_fract_z
_atom_site_occupancy
Li1 Li 0.000 0.500 0.250 1
P1 P 0.000 0.000 0.000 1
S1 S 0.196 0.196 0.128 1



# SrTlV2 (PBE-GGA, optimized geometry)
# - energy of formation from the pure elements (eV/f.u.) = 3.2
# - energy above the most stable polymorph in this dataset (meV/atom) = 3.6
# - calculated total energy (eV for the cell shown) = -76.410
# - N(E_F) (states/eV/f.u.) = 7.64
data_SrTlV2
_space_group_name_H-M_alt 'F m -3 m'
_space_group_IT_number 225
_space_group_name_Hall '-F 4 2 3'
_cell_length_a 7.199
_cell_length_b 7.199
_cell_length_c 7.199
_cell_angle_alpha 90.00
_cell_angle_beta 90.00
_cell_angle_gamma 90.00
loop_
_atom_site_label
_atom_site_type_symbol
_atom_site_fract_x
_atom_site_fract_y
_atom_site_fract_z
_atom_site_occupancy
Sr1 Sr 0.000 0.000 0.000 1
Tl1 Tl 0.000 0.000 0.500 1
V1 V 0.250 0.250 0.250 1



# HoGaNi6 (PBE-GGA, optimized geometry)
# - energy of formation from the pure elements (eV/f.u.) = -1.0
# - calculated total energy (eV for the cell shown) = -43.276
# - N(E_F) (states/eV/f.u.) = 11.67
data_HoGaNi6
_space_group_name_H-M_alt 'P 4/m m m'
_space_group_IT_number 123
_space_group_name_Hall '-P 4 2'
_cell_length_a 3.780
_cell_length_b 3.780
_cell_length_c 7.971
_cell_angle_alpha 90.00
_cell_angle_beta 90.00
_cell_angle_gamma 90.00
loop_
_atom_site_label
_atom_site_type_symbol
_atom_site_fract_x
_atom_site_fract_y
_atom_site_fract_z
_atom_site_occupancy
Ho1 Ho 0.000 0.000 0.000 1
Ga1 Ga 0.000 0.000 0.500 1
Ni1 Ni 0.000 0.500 0.318 1
Ni2 Ni 0.500 0.500 0.141 1



# YPb2 (PBE-GGA, optimized geometry)
# - energy of formation from the pure elements (eV/f.u.) = -0.6
# - calculated total energy (eV for the cell shown) = -14.512
# - N(E_F) (states/eV/f.u.) = 1.79
data_YPb2
_space_group_name_H-M_alt 'P -3 m 1'
_space_group_IT_number 164
_space_group_name_Hall '-P 3 2"'
_cell_length_a 5.4515
_cell_length_b 5.4515
_cell_length_c 3.4975
_cell_angle_alpha 90.00
_cell_angle_beta 90.00
_cell_angle_gamma 120.00
loop_
_atom_site_label
_atom_site_type_symbol
_atom_site_fract_x
_atom_site_fract_y
_atom_site_fract_z
_atom_site_occupancy
Y1 Y 0.0000 0.0000 0.0000 1
Pb1 Pb 0.3333 0.6667 0.4133 1



# NaCu2PN (PBE-GGA, optimized geometry)
# - uncorrected formation energy (eV per atom) = 0.469
# - calculated total energy (eV for the cell shown) = -20.903
# - N(E_F) (states/eV/f.u.) = 2.35
data_NaCu2PN
_space_group_name_H-M_alt 'P 4/m m m'
_space_group_IT_number 123
_space_group_name_Hall '-P 4 2'
_cell_length_a 3.840
_cell_length_b 3.840
_cell_length_c 4.824
_cell_angle_alpha 90.00
_cell_angle_beta 90.00
_cell_angle_gamma 90.00
loop_
_atom_site_label
_atom_site_type_symbol
_atom_site_fract_x
_atom_site_fract_y
_atom_site_fract_z
_atom_site_occupancy
Na1 Na 0.000 0.000 0.000 1
Cu1 Cu 0.000 0.500 0.500 1
P1 P 0.500 0.500 0.000 1
N1 N 0.500 0.500 0.500 1



# TaBiPd3 (PBE-GGA, optimized geometry)
# - energy of formation from the pure elements (eV/f.u.) = 3.3
# - energy above the most stable polymorph in this dataset (meV/atom) = 0.0
# - calculated total energy (eV for the cell shown) = -28.060
# - N(E_F) (states/eV/f.u.) = 4.76
data_TaBiPd3
_space_group_name_H-M_alt 'P m -3 m'
_space_group_IT_number 221
_space_group_name_Hall '-P 4 2 3'
_cell_length_a 4.892
_cell_length_b 4.892
_cell_length_c 4.892
_cell_angle_alpha 90.00
_cell_angle_beta 90.00
_cell_angle_gamma 90.00
loop_
_atom_site_label
_atom_site_type_symbol
_atom_site_fract_x
_atom_site_fract_y
_atom_site_fract_z
_atom_site_occupancy
Ta1 Ta 0.000 0.000 0.000 1
Bi1 Bi 0.500 0.500 0.500 1
Pd1 Pd 0.000 0.000 0.500 1



# ZnMoP2Cl (PBE-GGA, optimized geometry)
# - uncorrected formation energy (eV per atom) = 1.024
# - energy above the most stable polymorph in this dataset (meV/atom) = 724.4
# - calculated total energy (eV for the cell shown) = -19.652
# - N(E_F) (states/eV/f.u.) = 2.52
data_ZnMoP2Cl
_space_group_name_H-M_alt 'P 4/m m m'
_space_group_IT_number 123
_space_group_name_Hall '-P 4 2'
_cell_length_a 4.569
_cell_length_b 4.569
_cell_length_c 4.876
_cell_angle_alpha 90.00
_cell_angle_beta 90.00
_cell_angle_gamma 90.00
loop_
_atom_site_label
_atom_site_type_symbol
_atom_site_fract_x
_atom_site_fract_y
_atom_site_fract_z
_atom_site_occupancy
Zn1 Zn 0.000 0.000 0.000 1
Mo1 Mo 0.500 0.500 0.500 1
P1 P 0.000 0.500 0.000 1
Cl1 Cl 0.000 0.000 0.500 1



# NaRuW2 (PBE-GGA, optimized geometry)
# - energy of formation from the pure elements (eV/f.u.) = 4.2
# - energy above the most stable polymorph in this dataset (meV/atom) = 0.0
# - calculated total energy (eV for the cell shown) = -129.274
# - N(E_F) (states/eV/f.u.) = 3.48
data_NaRuW2
_space_group_name_H-M_alt 'F m -3 m'
_space_group_IT_number 225
_space_group_name_Hall '-F 4 2 3'
_cell_length_a 6.315
_cell_length_b 6.315
_cell_length_c 6.315
_cell_angle_alpha 90.00
_cell_angle_beta 90.00
_cell_angle_gamma 90.00
loop_
_atom_site_label
_atom_site_type_symbol
_atom_site_fract_x
_atom_site_fract_y
_atom_site_fract_z
_atom_site_occupancy
Na1 Na 0.000 0.000 0.000 1
Ru1 Ru 0.000 0.000 0.500 1
W1 W 0.250 0.250 0.250 1



# Na3AsSe (PBE-GGA, optimized geometry)
# - uncorrected formation energy (eV per atom) = -0.319
# - energy above the most stable polymorph in this dataset (meV/atom) = 311.9
# - calculated total energy (eV for the cell shown) = -13.685
# - N(E_F) (states/eV/f.u.) = 3.48
data_Na3AsSe
_space_group_name_H-M_alt 'P m -3 m'
_space_group_IT_number 221
_space_group_name_Hall '-P 4 2 3'
_cell_length_a 5.463
_cell_length_b 5.463
_cell_length_c 5.463
_cell_angle_alpha 90.00
_cell_angle_beta 90.00
_cell_angle_gamma 90.00
loop_
_atom_site_label
_atom_site_type_symbol
_atom_site_fract_x
_atom_site_fract_y
_atom_site_fract_z
_atom_site_occupancy
Na1 Na 0.000 0.000 0.500 1
As1 As 0.500 0.500 0.500 1
Se1 Se 0.000 0.000 0.000 1



# Mg6SnHg8 (PBE-GGA, optimized geometry)
# - energy of formation from the pure elements (eV/f.u.) = -1.9
# - calculated total energy (eV for the cell shown) = -53.698
# - N(E_F) (states/eV/f.u.) = 3.94
data_Mg6SnHg8
_space_group_name_H-M_alt 'R -3'
_space_group_IT_number 148
_space_group_name_Hall '-R 3'
_cell_length_a 8.4196
_cell_length_b 8.4196
_cell_length_c 17.7957
_cell_angle_alpha 90.00
_cell_angle_beta 90.00
_cell_angle_gamma 120.00
loop_
_atom_site_label
_atom_site_type_symbol
_atom_site_fract_x
_atom_site_fract_y
_atom_site_fract_z
_atom_site_occupancy
Mg1 Mg 0.0026 0.6832 0.3857 1
Sn1 Sn 0.0000 0.0000 0.0000 1
Hg1 Hg 0.0000 0.0000 0.3184 1
Hg2 Hg 0.0025 0.6784 0.8808 1



# SbIrS4 (PBE-GGA, optimized geometry)
# - uncorrected formation energy (eV per atom) = -0.343
# - calculated total energy (eV for the cell shown) = -63.098
data_SbIrS4
_space_group_name_H-M_alt 'C 1 2/m 1'
_space_group_IT_number 12
_cell_length_a 14.194
_cell_length_b 3.637
_cell_length_c 6.266
_cell_angle_alpha 90.00
_cell_angle_beta 114.66
_cell_angle_gamma 90.00
loop_
_space_group_symop_operation_xyz
'x,y,z'
'-x,-y,-z'
'-x,y,-z'
'x,-y,z'
'x+1/2,y+1/2,z'
'-x+1/2,-y+1/2,-z'
'-x+1/2,y+1/2,-z'
'x+1/2,-y+1/2,z'
loop_
_atom_site_label
_atom_site_type_symbol
_atom_site_fract_x
_atom_site_fract_y
_atom_site_fract_z
_atom_site_occupancy
Sb1 Sb 0.000 0.000 0.000 1
Ir1 Ir 0.000 0.500 0.500 1
S1 S 0.098 0.000 0.741 1
S2 S 0.108 0.500 0.295 1